Entry 1:
Below is CaEu2Sc after structural relaxation, with properties calculated at the PBE-GGA level.

```
CaEu2Sc
1.0
3.5764 0.0000 0.0000
1.7882 3.0973 0.0000
1.7882 1.0324 12.9197
Ca Sc Eu
1 1 2
direct
0.5000 0.5000 0.5000
0.0000 0.0000 0.0000
0.0816 0.0816 0.7553
0.9184 0.9184 0.2447
```

Polymorph energy (0 for the lowest one): 0.189 eV/atom
Total energy: -6.91 eV/atom
Energy of formation: 121.1 kJ/mol of formula units
Symmetry: R-3m, No. 166
M_tot: 14.4 Bohr magnetons per cell

---

Entry 2:
Below is Ca2EuSc after structural relaxation, with properties calculated at the PBE-GGA level.

```
Ca2EuSc
1.0
4.1628 0.0000 0.0000
0.0000 5.8657 0.0000
0.0000 0.0000 5.8657
Ca Eu Sc
2 1 1
direct
0.0000 0.0000 0.5000
0.0000 0.5000 0.0000
0.5000 0.5000 0.5000
0.5000 0.0000 0.0000
```

Polymorph energy (0 for the lowest one): 0.011 eV/atom
Total energy: -4.94 eV/atom
Energy of formation: 80.1 kJ/mol of formula units
Symmetry: P4/mmm, No. 123
M_tot: 7.1 Bohr magnetons per cell

---

Which value of energy of formation does entry 1 give? 121.1 kJ/mol of formula units

---

Which of these has the highest M_tot? CaEu2Sc

---

What is the formula in the second record? Ca2EuSc

---

Number 1 is which compound? CaEu2Sc